No. 1
## Pm4NiSn7 (PBE)

Data for Pm4NiSn7 after structural relaxation.

Geometry as POSCAR:
```
Pm4NiSn7
1.0
-1.184 -2.604 3.721
2.011 -8.294 -2.206
8.826 -3.399 3.390
Ni Sn Pm
1 7 4
direct
0.000 0.000 0.000
0.922 0.325 0.832
0.649 0.418 0.284
0.213 0.130 0.445
0.351 0.582 0.716
0.787 0.870 0.555
0.078 0.675 0.168
0.500 0.000 0.000
0.301 0.317 0.081
0.567 0.220 0.645
0.699 0.683 0.919
0.433 0.780 0.355
```

Computed properties:
N(E_F)   7.3 states/eV/f.u.
Energy of formation   -38.7 kJ/mol of atoms
V   29.80 Å³/atom
Total moment   0.00 μB per cell
Space group   C2/m (12)

No. 2
## Pm3NiSn2 (PBE)

Data for Pm3NiSn2 after structural relaxation.

Geometry as POSCAR:
```
Pm3NiSn2
1.0
4.456 0.000 0.000
0.000 11.992 0.000
0.000 0.000 12.367
Sn Pm Ni
8 12 4
direct
0.250 0.004 0.307
0.250 0.811 0.987
0.250 0.689 0.487
0.750 0.504 0.193
0.250 0.496 0.807
0.750 0.311 0.513
0.750 0.996 0.693
0.750 0.189 0.013
0.250 0.372 0.055
0.750 0.947 0.120
0.250 0.797 0.728
0.250 0.053 0.880
0.750 0.203 0.272
0.250 0.447 0.380
0.750 0.628 0.945
0.750 0.553 0.620
0.250 0.128 0.555
0.250 0.703 0.228
0.750 0.297 0.772
0.750 0.872 0.445
0.250 0.366 0.627
0.750 0.634 0.373
0.250 0.134 0.127
0.750 0.866 0.873
```

Computed properties:
N(E_F)   4.5 states/eV/f.u.
Energy of formation   -63.7 kJ/mol of atoms
V   27.54 Å³/atom
Total moment   2.71 μB per cell
Energy relative to the lowest polymorph listed for this composition   0 meV per atom
Space group   Pnma (62)

No. 3
## Pm8Ni2Sn (PBE)

Data for Pm8Ni2Sn after structural relaxation.

Geometry as POSCAR:
```
Pm8Ni2Sn
1.0
-0.191 -3.709 -4.025
6.837 3.738 -2.299
0.848 -5.178 6.202
Pm Ni Sn
8 2 1
direct
0.697 0.396 0.396
0.303 0.604 0.604
0.500 0.248 0.752
0.069 0.077 0.328
0.931 0.672 0.923
0.069 0.328 0.077
0.931 0.923 0.672
0.500 0.752 0.248
0.000 0.301 0.699
0.000 0.699 0.301
0.500 0.000 0.000
```

Computed properties:
N(E_F)   13.5 states/eV/f.u.
Energy of formation   -18.2 kJ/mol of atoms
V   28.88 Å³/atom
Total moment   0.00 μB per cell
Space group   C2/m (12)

No. 4
## PmNi3Sn3 (PBE)

Data for PmNi3Sn3 after structural relaxation.

Geometry as POSCAR:
```
PmNi3Sn3
1.0
8.148 0.000 0.000
4.074 7.057 0.000
4.074 2.352 5.046
Sn Ni Pm
6 6 2
direct
0.610 0.182 0.332
0.818 0.124 0.668
0.390 0.818 0.668
0.182 0.876 0.332
0.876 0.610 0.332
0.124 0.390 0.668
0.947 0.283 0.169
0.399 0.053 0.831
0.717 0.399 0.831
0.053 0.717 0.831
0.601 0.947 0.169
0.283 0.601 0.169
0.671 0.671 0.986
0.329 0.329 0.014
```

Computed properties:
N(E_F)   1.4 states/eV/f.u.
Energy of formation   -23.1 kJ/mol of atoms
V   20.72 Å³/atom
Total moment   0.00 μB per cell
Energy relative to the lowest polymorph listed for this composition   0 meV per atom
Space group   R-3 (148)

No. 5
## PmNi2Sn8 (PBE)

Data for PmNi2Sn8 after structural relaxation.

Geometry as POSCAR:
```
PmNi2Sn8
1.0
6.335 0.000 0.000
0.000 6.335 0.000
0.000 0.000 7.676
Ni Sn Pm
2 8 1
direct
0.500 0.000 0.000
0.000 0.500 0.000
0.246 0.754 0.202
0.754 0.246 0.202
0.754 0.754 0.202
0.246 0.754 0.798
0.754 0.754 0.798
0.246 0.246 0.798
0.246 0.246 0.202
0.754 0.246 0.798
0.500 0.500 0.500
```

Computed properties:
N(E_F)   5.7 states/eV/f.u.
Energy of formation   -11.8 kJ/mol of atoms
V   28.00 Å³/atom
Total moment   0.00 μB per cell
Space group   P4/mmm (123)

No. 6
## PmNi3Sn3 (PBE)

Data for PmNi3Sn3 after structural relaxation.

Geometry as POSCAR:
```
PmNi3Sn3
1.0
6.896 0.000 0.000
0.000 6.896 0.000
0.000 0.000 6.896
Pm Sn Ni
2 6 6
direct
0.500 0.500 0.500
0.000 0.000 0.000
0.000 0.750 0.500
0.250 0.500 0.000
0.500 0.000 0.750
0.000 0.250 0.500
0.500 0.000 0.250
0.750 0.500 0.000
0.500 0.250 0.000
0.500 0.750 0.000
0.000 0.500 0.250
0.000 0.500 0.750
0.250 0.000 0.500
0.750 0.000 0.500
```

Computed properties:
N(E_F)   5.7 states/eV/f.u.
Energy of formation   2.9 kJ/mol of atoms
V   23.43 Å³/atom
Total moment   0.00 μB per cell
Energy relative to the lowest polymorph listed for this composition   270 meV per atom
Space group   Pm-3n (223)

No. 7
## Pm6NiSn12 (PBE)

Data for Pm6NiSn12 after structural relaxation.

Geometry as POSCAR:
```
Pm6NiSn12
1.0
-4.450 -4.218 -5.331
2.127 -6.263 4.718
-6.163 2.664 4.576
Sn Pm Ni
12 6 1
direct
0.916 0.660 0.991
0.159 0.415 0.488
0.084 0.340 0.009
0.340 0.009 0.084
0.415 0.488 0.159
0.009 0.084 0.340
0.585 0.512 0.841
0.991 0.916 0.660
0.488 0.159 0.415
0.660 0.991 0.916
0.512 0.841 0.585
0.841 0.585 0.512
0.322 0.183 0.752
0.678 0.817 0.248
0.248 0.678 0.817
0.183 0.752 0.322
0.752 0.322 0.183
0.817 0.248 0.678
0.000 0.000 0.000
```

Computed properties:
N(E_F)   9.7 states/eV/f.u.
Energy of formation   -50.1 kJ/mol of atoms
V   27.51 Å³/atom
Total moment   0.00 μB per cell
Space group   R-3 (148)

No. 8
## PmNi2Sn3 (PBE)

Data for PmNi2Sn3 after structural relaxation.

Geometry as POSCAR:
```
PmNi2Sn3
1.0
-2.543 -0.329 3.524
7.532 -3.819 2.384
1.109 10.399 1.771
Pm Sn Ni
3 9 6
direct
0.846 0.692 0.299
0.000 0.000 0.000
0.154 0.308 0.701
0.045 0.089 0.340
0.226 0.452 0.378
0.500 0.000 0.500
0.338 0.676 0.068
0.371 0.742 0.818
0.662 0.324 0.932
0.629 0.258 0.182
0.955 0.911 0.660
0.774 0.548 0.622
0.514 0.027 0.772
0.639 0.278 0.437
0.195 0.389 0.108
0.805 0.611 0.892
0.361 0.722 0.563
0.486 0.973 0.228
```

Computed properties:
N(E_F)   2.4 states/eV/f.u.
Energy of formation   -36.1 kJ/mol of atoms
V   20.82 Å³/atom
Total moment   0.00 μB per cell
Energy relative to the lowest polymorph listed for this composition   0 meV per atom
Space group   C2/m (12)

No. 9
## PmNi4Sn12 (PBE)

Data for PmNi4Sn12 after structural relaxation.

Geometry as POSCAR:
```
PmNi4Sn12
1.0
-3.671 -5.548 -4.455
-0.412 -2.076 7.722
-3.593 7.077 -1.057
Sn Ni Pm
12 4 1
direct
0.833 0.336 0.169
0.664 0.497 0.833
0.169 0.833 0.336
0.167 0.664 0.831
0.833 0.664 0.497
0.664 0.831 0.167
0.336 0.169 0.833
0.503 0.167 0.336
0.336 0.503 0.167
0.831 0.167 0.664
0.497 0.833 0.664
0.167 0.336 0.503
0.500 0.500 0.500
0.000 0.000 0.500
0.000 0.500 0.000
0.500 0.000 0.000
0.000 0.000 0.000
```

Computed properties:
N(E_F)   6.6 states/eV/f.u.
Energy of formation   -20.9 kJ/mol of atoms
V   23.24 Å³/atom
Total moment   0.00 μB per cell
Space group   Im-3 (204)

No. 10
## PmNi6Sn12 (PBE)

Data for PmNi6Sn12 after structural relaxation.

Geometry as POSCAR:
```
PmNi6Sn12
1.0
-4.474 0.186 -6.498
-4.449 -3.019 5.776
1.542 7.489 1.953
Sn Ni Pm
12 6 1
direct
0.500 0.121 0.879
0.409 0.149 0.409
0.500 0.879 0.121
0.879 0.500 0.121
0.121 0.879 0.500
0.591 0.591 0.851
0.851 0.591 0.591
0.149 0.409 0.409
0.591 0.851 0.591
0.409 0.409 0.149
0.879 0.121 0.500
0.121 0.500 0.879
0.272 0.272 0.707
0.272 0.707 0.272
0.728 0.293 0.728
0.707 0.272 0.272
0.728 0.728 0.293
0.293 0.728 0.728
0.000 0.000 0.000
```

Computed properties:
N(E_F)   11.7 states/eV/f.u.
Energy of formation   -4.9 kJ/mol of atoms
V   21.55 Å³/atom
Total moment   0.00 μB per cell
Space group   R-3m (166)

No. 11
## Pm4Ni3Sn (PBE)

Data for Pm4Ni3Sn after structural relaxation.

Geometry as POSCAR:
```
Pm4Ni3Sn
1.0
-3.512 2.019 -0.577
0.214 -0.857 -4.298
-5.399 -8.960 1.518
Ni Pm Sn
3 4 1
direct
0.000 0.500 0.567
0.000 0.000 0.443
0.500 0.000 0.914
0.000 0.500 0.839
0.000 0.000 0.153
0.500 0.000 0.638
0.500 0.500 0.378
0.500 0.500 0.068
```

Computed properties:
N(E_F)   5.9 states/eV/f.u.
Energy of formation   -38.7 kJ/mol of atoms
V   23.73 Å³/atom
Total moment   0.00 μB per cell
Space group   Pmm2 (25)

No. 12
## Pm6NiSn3 (PBE)

Data for Pm6NiSn3 after structural relaxation.

Geometry as POSCAR:
```
Pm6NiSn3
1.0
-2.957 0.796 8.309
4.607 -7.516 0.837
6.677 5.809 0.298
Pm Sn Ni
12 6 2
direct
0.195 0.564 0.428
0.564 0.428 0.195
0.428 0.195 0.564
0.054 0.313 0.982
0.572 0.805 0.436
0.313 0.982 0.054
0.436 0.572 0.805
0.946 0.687 0.018
0.687 0.018 0.946
0.982 0.054 0.313
0.805 0.436 0.572
0.018 0.946 0.687
0.638 0.120 0.306
0.880 0.694 0.362
0.362 0.880 0.694
0.306 0.638 0.120
0.120 0.306 0.638
0.694 0.362 0.880
0.000 0.000 0.000
0.500 0.500 0.500
```

Computed properties:
N(E_F)   10.2 states/eV/f.u.
Energy of formation   -37.3 kJ/mol of atoms
V   33.19 Å³/atom
Total moment   0.00 μB per cell
Space group   R-3 (148)